Record 1
This record from Alexandria describes crystalline ZnSiSe at its relaxed geometry. The functional is GGA-PBE.

Structure (extended XYZ):
```
3
Lattice="0.0000 3.1117 5.4776 1.7814 0.0000 5.4776 1.7814 3.1117 0.0000" Properties=species:S:1:pos:R:3 pbc="T T T"
Zn 0.0000 0.0000 0.0000
Si 1.7814 3.1117 3.6875
Se 1.7814 3.1117 7.4184
```

Results
Energy relative to the lowest polymorph listed for this composition, meV/atom: 0.0
Formation energy (no corrections), eV per atom: 0.291
DFT total energy, eV/atom: -3.103

***

Record 2
This record from Alexandria describes crystalline TcOs8 at its relaxed geometry. The functional is GGA-PBE.

Structure (extended XYZ):
```
9
Lattice="-4.0961 4.0961 1.9265 4.0961 -4.0961 1.9265 4.0961 4.0961 -1.9265" Properties=species:S:1:pos:R:3 pbc="T T T"
Tc 0.0000 0.0000 0.0000
Os 2.7282 0.0000 0.0000
Os 5.4639 0.0000 0.0000
Os 0.0000 2.7282 0.0000
Os 2.7279 2.7279 0.0000
Os 1.3682 -1.3682 1.9265
Os 0.0000 5.4639 0.0000
Os -1.3682 1.3682 1.9265
Os 1.3682 1.3682 1.9265
```

Results
DFT total energy, eV/atom: -11.019

***

Question: Which value of DFT total energy does entry 1 give?
Answer: -3.103 eV/atom

***

Question: The lowest DFT total energy belongs to which entry?
Answer: TcOs8